# 1
A geometry-optimized SiRu2Se structure. Source: Alexandria via LeMat-Bulk, functional GGA-PBEsol.

Unit cell a=4.178 b=4.178 c=5.004 alpha=102.28 beta=102.28 gamma=40.65
Element x y z (fractional)
Si 0.000 0.000 0.000
Ru 0.258 0.258 0.760
Ru 0.742 0.742 0.240
Se 0.500 0.500 0.500

Values from the calculation:
M_tot (μB/f.u.): 0.00
Space-group type: C2/m

=====

# 2
A geometry-optimized Ti6Sn5 structure. Source: Alexandria via LeMat-Bulk, functional GGA-PBEsol.

Unit cell a=9.732 b=9.732 c=9.732 alpha=146.25 beta=124.76 gamma=66.32
Element x y z (fractional)
Ti 0.000 0.000 0.500
Ti 0.000 0.500 0.000
Ti 0.144 0.414 0.730
Ti 0.158 0.158 0.000
Ti 0.316 0.586 0.730
Ti 0.500 0.000 0.000
Ti 0.500 0.267 0.767
Ti 0.500 0.500 0.500
Ti 0.500 0.733 0.233
Ti 0.684 0.414 0.270
Ti 0.842 0.842 0.000
Ti 0.856 0.586 0.270
Sn 0.000 0.245 0.245
Sn 0.000 0.755 0.755
Sn 0.204 0.896 0.309
Sn 0.207 0.707 0.500
Sn 0.331 0.331 0.000
Sn 0.413 0.104 0.309
Sn 0.587 0.896 0.691
Sn 0.669 0.669 0.000
Sn 0.793 0.293 0.500
Sn 0.796 0.104 0.691

Values from the calculation:
M_tot (μB/f.u.): 0.00
Space-group type: Immm

=====

# 3
A geometry-optimized Tl4Cl5 structure. Source: Alexandria via LeMat-Bulk, functional GGA-PBEsol.

Unit cell a=8.921 b=8.921 c=7.272 alpha=90.00 beta=90.00 gamma=120.00
Element x y z (fractional)
Tl 0.000 0.000 0.000
Tl 0.000 0.000 0.500
Tl 0.000 0.425 0.250
Tl 0.000 0.575 0.750
Tl 0.425 0.000 0.250
Tl 0.425 0.425 0.750
Tl 0.575 0.000 0.750
Tl 0.575 0.575 0.250
Cl 0.000 0.242 0.750
Cl 0.000 0.758 0.250
Cl 0.242 0.000 0.750
Cl 0.242 0.242 0.250
Cl 0.333 0.667 0.000
Cl 0.333 0.667 0.500
Cl 0.667 0.333 0.000
Cl 0.667 0.333 0.500
Cl 0.758 0.000 0.250
Cl 0.758 0.758 0.750

Values from the calculation:
M_tot (μB/f.u.): 0.00
Space-group type: P6_3/mcm

=====

# 4
A geometry-optimized Y2OsAu structure. Source: Alexandria via LeMat-Bulk, functional GGA-PBEsol.

Unit cell a=3.392 b=3.392 c=7.175 alpha=90.00 beta=90.00 gamma=90.00
Element x y z (fractional)
Y 0.000 0.000 0.231
Y 0.000 0.000 0.769
Os 0.500 0.500 0.000
Au 0.500 0.500 0.500

Values from the calculation:
M_tot (μB/f.u.): 0.00
Space-group type: P4/mmm

=====

no.,VASP energy (eV per atom)
1,-7.60
2,-6.88
3,-3.08
4,-7.98